Density functional theory data (PBE-GGA) for a relaxed structure of La2PaIn.

```
La2PaIn
1.0
5.540 0.000 0.000
2.770 4.798 0.000
2.770 1.599 4.523
Pa La In
1 2 1
direct
0.000 0.000 0.000 Pa
0.250 0.250 0.250 La
0.750 0.750 0.750 La
0.500 0.500 0.500 In
```

Calculated total energy, eV per atom: -5.39
Size of the total moment, μB per cell: 0.9
Formation energy, meV per atom: 136